1.
The following is a PBE calculation of an optimized crystal structure of ReNiBPIr, from Alexandria via LeMat-Bulk.

Values from the calculation:
volume = 67.3 Å³ per cell
M_tot = 0.00 μB/cell
total energy = -39.7 eV per formula unit

a b c (Å): 5.4821 5.4821 4.0960
angles (deg): 103.51 103.51 34.30
Sites, in units of the cell vectors:
Re 0.0000 0.0000 0.0000
Ni 0.5695 0.5695 0.5534
B 0.6358 0.6358 0.0952
P 0.8918 0.8918 0.4396
Ir 0.2681 0.2681 0.0875



2.
The following is a PBE calculation of an optimized crystal structure of PmNiBIr, from Alexandria via LeMat-Bulk.

Values from the calculation:
volume = 64.3 Å³ per cell
M_tot = 0.00 μB/cell
total energy = -27.5 eV per formula unit

a b c (Å): 5.2093 5.2093 5.2093
angles (deg): 138.26 136.30 62.02
Sites, in units of the cell vectors:
Pm 0.0000 0.0000 0.0000
Ni 0.3452 0.3452 0.0000
B 0.7543 0.2543 0.5000
Ir 0.6484 0.6484 0.0000



3.
The following is a PBE calculation of an optimized crystal structure of NiB2IrPt, from Alexandria via LeMat-Bulk.

Values from the calculation:
volume = 111.7 Å³ per cell
M_tot = 0.00 μB/cell
total energy = -34.9 eV per formula unit

a b c (Å): 5.2965 5.2965 6.4716
angles (deg): 96.66 96.66 38.30
Sites, in units of the cell vectors:
Ni 0.1768 0.1768 0.4197
Ni 0.8232 0.8232 0.5803
B 0.1067 0.1067 0.1046
B 0.3855 0.3855 0.4491
B 0.6145 0.6145 0.5509
B 0.8933 0.8933 0.8954
Ir 0.4792 0.4792 0.7779
Ir 0.5208 0.5208 0.2221
Pt 0.2024 0.2024 0.8344
Pt 0.7976 0.7976 0.1656



4.
The following is a PBE calculation of an optimized crystal structure of NiBIrRh, from Alexandria via LeMat-Bulk.

Values from the calculation:
volume = 50.1 Å³ per cell
M_tot = 0.00 μB/cell
total energy = -28.3 eV per formula unit

a b c (Å): 3.5000 3.5000 5.1241
angles (deg): 109.90 109.90 60.23
Sites, in units of the cell vectors:
Ni 0.0000 0.0000 0.0000
B 0.1644 0.1644 0.4964
Ir 0.5627 0.5627 0.6916
Rh 0.7669 0.7669 0.3036



5.
The following is a PBE calculation of an optimized crystal structure of ScNi2BIr, from Alexandria via LeMat-Bulk.

Values from the calculation:
volume = 83.0 Å³ per cell
M_tot = 0.84 μB/cell
total energy = -31.2 eV per formula unit

a b c (Å): 4.5871 4.5871 3.9428
angles (deg): 90.00 90.00 90.00
Sites, in units of the cell vectors:
Sc 0.0000 0.0000 0.0000
Ni 0.0000 0.5000 0.5000
Ni 0.5000 0.0000 0.5000
B 0.5000 0.5000 0.0000
Ir 0.5000 0.5000 0.5000



6.
The following is a PBE calculation of an optimized crystal structure of ScNiBIr2, from Alexandria via LeMat-Bulk.

Values from the calculation:
volume = 67.7 Å³ per cell
M_tot = 0.00 μB/cell
total energy = -39.7 eV per formula unit

a b c (Å): 4.1425 4.1425 3.9456
angles (deg): 90.00 90.00 90.00
Sites, in units of the cell vectors:
Sc 0.0000 0.0000 0.0000
Ni 0.5000 0.5000 0.0000
B 0.5000 0.5000 0.5000
Ir 0.0000 0.5000 0.5000
Ir 0.5000 0.0000 0.5000



7.
The following is a PBE calculation of an optimized crystal structure of ScNi2BIr, from Alexandria via LeMat-Bulk.

Values from the calculation:
volume = 64.1 Å³ per cell
M_tot = 0.00 μB/cell
total energy = -36.2 eV per formula unit

a b c (Å): 3.9536 3.9536 4.1027
angles (deg): 90.00 90.00 90.00
Sites, in units of the cell vectors:
Sc 0.0000 0.0000 0.0000
Ni 0.0000 0.5000 0.5000
Ni 0.5000 0.0000 0.5000
B 0.5000 0.5000 0.5000
Ir 0.5000 0.5000 0.0000



8.
The following is a PBE calculation of an optimized crystal structure of NiSnBIr2, from Alexandria via LeMat-Bulk.

Values from the calculation:
volume = 69.6 Å³ per cell
M_tot = 0.00 μB/cell
total energy = -34.6 eV per formula unit

a b c (Å): 4.1568 4.1568 4.0271
angles (deg): 90.00 90.00 90.00
Sites, in units of the cell vectors:
Ni 0.0000 0.0000 0.0000
Sn 0.5000 0.5000 0.0000
B 0.0000 0.0000 0.5000
Ir 0.0000 0.5000 0.5000
Ir 0.5000 0.0000 0.5000



9.
The following is a PBE calculation of an optimized crystal structure of NiSn2B2Ir5, from Alexandria via LeMat-Bulk.

Values from the calculation:
volume = 277.4 Å³ per cell
M_tot = 1.83 μB/cell
total energy = -71.2 eV per formula unit

a b c (Å): 9.3910 9.3910 3.1452
angles (deg): 90.00 90.00 90.00
Sites, in units of the cell vectors:
Ni 0.0000 0.0000 0.0000
Ni 0.5000 0.5000 0.0000
Sn 0.1774 0.3226 0.0000
Sn 0.3226 0.8226 0.0000
Sn 0.6774 0.1774 0.0000
Sn 0.8226 0.6774 0.0000
B 0.1267 0.6267 0.0000
B 0.3733 0.1267 0.0000
B 0.6267 0.8733 0.0000
B 0.8733 0.3733 0.0000
Ir 0.0000 0.5000 0.5000
Ir 0.0731 0.7849 0.5000
Ir 0.2151 0.0731 0.5000
Ir 0.2849 0.5731 0.5000
Ir 0.4269 0.2849 0.5000
Ir 0.5000 0.0000 0.5000
Ir 0.5731 0.7151 0.5000
Ir 0.7151 0.4269 0.5000
Ir 0.7849 0.9269 0.5000
Ir 0.9269 0.2151 0.5000



10.
The following is a PBE calculation of an optimized crystal structure of Tb2NiB2Ir5, from Alexandria via LeMat-Bulk.

Values from the calculation:
volume = 288.7 Å³ per cell
M_tot = 1.83 μB/cell
total energy = -78.1 eV per formula unit

a b c (Å): 9.4986 9.4986 3.2001
angles (deg): 90.00 90.00 90.00
Sites, in units of the cell vectors:
Tb 0.1776 0.3224 0.0000
Tb 0.3224 0.8224 0.0000
Tb 0.6776 0.1776 0.0000
Tb 0.8224 0.6776 0.0000
Ni 0.0000 0.0000 0.0000
Ni 0.5000 0.5000 0.0000
B 0.1232 0.6232 0.0000
B 0.3768 0.1232 0.0000
B 0.6232 0.8768 0.0000
B 0.8768 0.3768 0.0000
Ir 0.0000 0.5000 0.5000
Ir 0.0679 0.7819 0.5000
Ir 0.2181 0.0679 0.5000
Ir 0.2819 0.5679 0.5000
Ir 0.4321 0.2819 0.5000
Ir 0.5000 0.0000 0.5000
Ir 0.5679 0.7181 0.5000
Ir 0.7181 0.4321 0.5000
Ir 0.7819 0.9321 0.5000
Ir 0.9321 0.2181 0.5000



11.
The following is a PBE calculation of an optimized crystal structure of ThNiBIr, from Alexandria via LeMat-Bulk.

Values from the calculation:
volume = 69.6 Å³ per cell
M_tot = 0.00 μB/cell
total energy = -30.1 eV per formula unit

a b c (Å): 3.8036 5.2990 5.2990
angles (deg): 40.64 90.00 90.00
Sites, in units of the cell vectors:
Th 0.0000 0.0000 0.0000
Ni 0.5000 0.2315 0.2315
B 0.5000 0.6305 0.6305
Ir 0.0000 0.7255 0.7255



12.
The following is a PBE calculation of an optimized crystal structure of ThNiB2Ir2, from Alexandria via LeMat-Bulk.

Values from the calculation:
volume = 87.9 Å³ per cell
M_tot = 0.00 μB/cell
total energy = -47.5 eV per formula unit

a b c (Å): 6.2888 6.2888 6.2888
angles (deg): 143.41 143.41 52.71
Sites, in units of the cell vectors:
Th 0.0000 0.0000 0.0000
Ni 0.5000 0.5000 0.0000
B 0.3243 0.3243 0.0000
B 0.6757 0.6757 0.0000
Ir 0.2500 0.7500 0.5000
Ir 0.7500 0.2500 0.5000



13.
The following is a PBE calculation of an optimized crystal structure of Th2NiB12Ir3, from Alexandria via LeMat-Bulk.

Values from the calculation:
volume = 230.1 Å³ per cell
M_tot = 0.00 μB/cell
total energy = -118.3 eV per formula unit

a b c (Å): 6.7719 6.7719 6.7719
angles (deg): 62.14 62.14 62.14
Sites, in units of the cell vectors:
Th 0.1358 0.1358 0.1358
Th 0.8642 0.8642 0.8642
Ni 0.5000 0.5000 0.5000
B 0.1409 0.1409 0.7140
B 0.1409 0.7140 0.1409
B 0.1747 0.6110 0.6110
B 0.2860 0.8591 0.8591
B 0.3890 0.3890 0.8253
B 0.3890 0.8253 0.3890
B 0.6110 0.1747 0.6110
B 0.6110 0.6110 0.1747
B 0.7140 0.1409 0.1409
B 0.8253 0.3890 0.3890
B 0.8591 0.2860 0.8591
B 0.8591 0.8591 0.2860
Ir 0.0000 0.5000 0.5000
Ir 0.5000 0.0000 0.5000
Ir 0.5000 0.5000 0.0000



14.
The following is a PBE calculation of an optimized crystal structure of TmNiBIr2, from Alexandria via LeMat-Bulk.

Values from the calculation:
volume = 71.0 Å³ per cell
M_tot = 0.00 μB/cell
total energy = -38.0 eV per formula unit

a b c (Å): 4.1888 4.1888 4.0489
angles (deg): 90.00 90.00 90.00
Sites, in units of the cell vectors:
Tm 0.0000 0.0000 0.0000
Ni 0.5000 0.5000 0.0000
B 0.5000 0.5000 0.5000
Ir 0.0000 0.5000 0.5000
Ir 0.5000 0.0000 0.5000



15.
The following is a PBE calculation of an optimized crystal structure of TmNiBIr, from Alexandria via LeMat-Bulk.

Values from the calculation:
volume = 61.5 Å³ per cell
M_tot = 0.00 μB/cell
total energy = -26.9 eV per formula unit

a b c (Å): 3.3360 5.0118 5.0118
angles (deg): 47.24 90.00 90.00
Sites, in units of the cell vectors:
Tm 0.0000 0.0000 0.0000
Ni 0.5000 0.6503 0.6503
B 0.5000 0.4267 0.4267
Ir 0.0000 0.2951 0.2951



16.
The following is a PBE calculation of an optimized crystal structure of YNi2BIr, from Alexandria via LeMat-Bulk.

Values from the calculation:
volume = 69.3 Å³ per cell
M_tot = 0.00 μB/cell
total energy = -36.1 eV per formula unit

a b c (Å): 4.0832 4.0832 4.1549
angles (deg): 90.00 90.00 90.00
Sites, in units of the cell vectors:
Y 0.0000 0.0000 0.0000
Ni 0.0000 0.5000 0.5000
Ni 0.5000 0.0000 0.5000
B 0.5000 0.5000 0.5000
Ir 0.5000 0.5000 0.0000



17.
The following is a PBE calculation of an optimized crystal structure of YNiBIr2, from Alexandria via LeMat-Bulk.

Values from the calculation:
volume = 72.6 Å³ per cell
M_tot = 0.00 μB/cell
total energy = -39.7 eV per formula unit

a b c (Å): 4.2083 4.2083 4.0970
angles (deg): 90.00 90.00 90.00
Sites, in units of the cell vectors:
Y 0.0000 0.0000 0.0000
Ni 0.5000 0.5000 0.0000
B 0.5000 0.5000 0.5000
Ir 0.0000 0.5000 0.5000
Ir 0.5000 0.0000 0.5000



18.
The following is a PBE calculation of an optimized crystal structure of ZnNiBIr2, from Alexandria via LeMat-Bulk.

Values from the calculation:
volume = 64.6 Å³ per cell
M_tot = 0.06 μB/cell
total energy = -31.9 eV per formula unit

a b c (Å): 4.0959 4.0959 3.8516
angles (deg): 90.00 90.00 90.00
Sites, in units of the cell vectors:
Zn 0.0000 0.0000 0.0000
Ni 0.5000 0.5000 0.0000
B 0.5000 0.5000 0.5000
Ir 0.0000 0.5000 0.5000
Ir 0.5000 0.0000 0.5000



19.
The following is a PBE calculation of an optimized crystal structure of Zn3Ni4B2Ir3, from Alexandria via LeMat-Bulk.

Values from the calculation:
volume = 158.2 Å³ per cell
M_tot = 0.28 μB/cell
total energy = -67.1 eV per formula unit

a b c (Å): 10.6076 10.6076 10.6076
angles (deg): 158.10 30.40 159.18
Sites, in units of the cell vectors:
Zn 0.0000 0.0000 0.0000
Zn 0.1822 0.9996 0.1826
Zn 0.8169 0.9996 0.8174
Ni 0.0941 0.5003 0.5938
Ni 0.2985 0.9975 0.3009
Ni 0.6966 0.9975 0.6991
Ni 0.9064 0.5003 0.4062
B 0.3949 0.0004 0.3945
B 0.6059 0.0004 0.6055
Ir 0.4032 0.4998 0.9034
Ir 0.5004 0.0004 0.5000
Ir 0.5963 0.4998 0.0966



20.
The following is a PBE calculation of an optimized crystal structure of ZrNiB2Ir2, from Alexandria via LeMat-Bulk.

Values from the calculation:
volume = 82.1 Å³ per cell
M_tot = 0.00 μB/cell
total energy = -47.0 eV per formula unit

a b c (Å): 6.0161 6.0161 6.0161
angles (deg): 141.96 141.96 54.88
Sites, in units of the cell vectors:
Zr 0.0000 0.0000 0.0000
Ni 0.5000 0.5000 0.0000
B 0.3222 0.3222 0.0000
B 0.6778 0.6778 0.0000
Ir 0.2500 0.7500 0.5000
Ir 0.7500 0.2500 0.5000



21.
The following is a PBE calculation of an optimized crystal structure of ZrNi2BIr, from Alexandria via LeMat-Bulk.

Values from the calculation:
volume = 65.8 Å³ per cell
M_tot = 0.00 μB/cell
total energy = -37.8 eV per formula unit

a b c (Å): 3.9900 3.9900 4.1337
angles (deg): 90.00 90.00 90.00
Sites, in units of the cell vectors:
Zr 0.0000 0.0000 0.0000
Ni 0.0000 0.5000 0.5000
Ni 0.5000 0.0000 0.5000
B 0.5000 0.5000 0.5000
Ir 0.5000 0.5000 0.0000



22.
The following is a PBE calculation of an optimized crystal structure of NpB4Ir5, from Alexandria via LeMat-Bulk.

Values from the calculation:
volume = 258.3 Å³ per cell
M_tot = 5.70 μB/cell
total energy = -85.0 eV per formula unit

a b c (Å): 6.8955 6.8955 5.4320
angles (deg): 90.00 90.00 90.00
Sites, in units of the cell vectors:
Np 0.2500 0.7500 0.0000
Np 0.7500 0.2500 0.0000
B 0.0396 0.2500 0.4095
B 0.2500 0.0396 0.4095
B 0.2500 0.4604 0.4095
B 0.4604 0.2500 0.4095
B 0.5396 0.7500 0.5905
B 0.7500 0.5396 0.5905
B 0.7500 0.9604 0.5905
B 0.9604 0.7500 0.5905
Ir 0.0397 0.0397 0.7308
Ir 0.0397 0.4603 0.7308
Ir 0.2500 0.2500 0.1065
Ir 0.4603 0.0397 0.7308
Ir 0.4603 0.4603 0.7308
Ir 0.5397 0.5397 0.2692
Ir 0.5397 0.9603 0.2692
Ir 0.7500 0.7500 0.8935
Ir 0.9603 0.5397 0.2692
Ir 0.9603 0.9603 0.2692



23.
The following is a PBE calculation of an optimized crystal structure of NpB3Ir3, from Alexandria via LeMat-Bulk.

Values from the calculation:
volume = 204.8 Å³ per cell
M_tot = 8.47 μB/cell
total energy = -60.4 eV per formula unit

a b c (Å): 5.8941 5.8941 5.8941
angles (deg): 90.00 90.00 90.00
Sites, in units of the cell vectors:
Np 0.0000 0.0000 0.0000
Np 0.5000 0.5000 0.5000
B 0.0000 0.2500 0.5000
B 0.0000 0.7500 0.5000
B 0.2500 0.5000 0.0000
B 0.5000 0.0000 0.2500
B 0.5000 0.0000 0.7500
B 0.7500 0.5000 0.0000
Ir 0.0000 0.5000 0.2500
Ir 0.0000 0.5000 0.7500
Ir 0.2500 0.0000 0.5000
Ir 0.5000 0.2500 0.0000
Ir 0.5000 0.7500 0.0000
Ir 0.7500 0.0000 0.5000



24.
The following is a PBE calculation of an optimized crystal structure of Np2BIr3, from Alexandria via LeMat-Bulk.

Values from the calculation:
volume = 95.8 Å³ per cell
M_tot = 5.58 μB/cell
total energy = -61.1 eV per formula unit

a b c (Å): 4.8497 4.8497 4.8497
angles (deg): 68.96 68.96 68.96
Sites, in units of the cell vectors:
Np 0.1188 0.1188 0.1188
Np 0.8812 0.8812 0.8812
B 0.5000 0.5000 0.5000
Ir 0.0000 0.5000 0.5000
Ir 0.5000 0.0000 0.5000
Ir 0.5000 0.5000 0.0000